DFT (meta-GGA SCAN) results for K3Cr11S18 at its PBEsol-relaxed geometry.

a b c (Å): 3.459 10.650 16.195
angles (deg): 100.18 90.00 99.35
Site moments in Bohr magnetons follow the coordinates.
Sites, in units of the cell vectors:
1 S 0.133 0.266 0.574  -0.06
2 Cr 0.000 0.000 0.000  2.91
3 S 0.005 0.010 0.853  -0.05
4 Cr 0.470 0.940 0.746  2.90
5 Cr 0.530 0.060 0.254  2.90
6 K 0.804 0.608 0.907  0.00
7 S 0.062 0.123 0.350  -0.07
8 S 0.578 0.157 0.011  -0.03
9 S 0.168 0.336 0.876  -0.04
10 S 0.422 0.845 0.279  -0.04
11 S 0.422 0.843 0.989  -0.03
12 S 0.634 0.268 0.226  -0.06
13 K 0.500 0.000 0.500  0.00
14 S 0.293 0.586 0.576  -0.04
15 K 0.196 0.392 0.093  0.00
16 Cr 0.705 0.411 0.570  2.93
17 Cr 0.295 0.589 0.430  2.93
18 S 0.728 0.456 0.717  -0.05
19 S 0.272 0.544 0.283  -0.05
20 S 0.867 0.734 0.426  -0.06
21 Cr 0.847 0.694 0.277  2.92
22 Cr 0.408 0.816 0.129  2.92
23 Cr 0.834 0.668 0.680  2.92
24 S 0.366 0.732 0.774  -0.06
25 Cr 0.166 0.332 0.320  2.92
26 S 0.832 0.664 0.124  -0.04
27 S 0.938 0.877 0.650  -0.07
28 S 0.707 0.414 0.424  -0.04
29 S 0.578 0.155 0.721  -0.04
30 Cr 0.592 0.184 0.871  2.92
31 S 0.995 0.990 0.147  -0.05
32 Cr 0.153 0.306 0.723  2.92

Output
- Formation energy from raw total energies: -1.23 eV/atom
- SG: C2/m (12)
- Crystal system: monoclinic



DFT (meta-GGA SCAN) results for K2CrSb at its PBEsol-relaxed geometry.

a b c (Å): 4.556 4.556 5.465
angles (deg): 90.00 90.00 90.00
Site moments in Bohr magnetons follow the coordinates.
Sites, in units of the cell vectors:
1 Cr 0.000 0.000 0.500  4.25
2 Sb 0.500 0.500 0.500  -0.14
3 K 0.500 0.000 0.000  0.03
4 K 0.000 0.500 0.000  0.03

Output
- Formation energy from raw total energies: 0.08 eV/atom
- SG: P4/mmm (123)
- Crystal system: tetragonal



DFT (meta-GGA SCAN) results for KCr2Sb at its PBEsol-relaxed geometry.

a b c (Å): 3.137 3.137 8.372
angles (deg): 90.00 90.00 90.00
Site moments in Bohr magnetons follow the coordinates.
Sites, in units of the cell vectors:
1 Sb 0.500 0.500 0.822  0.08
2 K 0.000 0.000 0.489  0.04
3 Cr 0.000 0.000 0.029  -2.81
4 Cr 0.500 0.500 0.159  3.28

Output
- Formation energy from raw total energies: 0.20 eV/atom
- SG: P4mm (99)
- Crystal system: tetragonal



DFT (meta-GGA SCAN) results for K4CrSb at its PBEsol-relaxed geometry.

a b c (Å): 6.811 6.811 6.811
angles (deg): 60.00 60.00 60.00
Site moments in Bohr magnetons follow the coordinates.
Sites, in units of the cell vectors:
1 Sb 0.750 0.750 0.750  0.01
2 K 0.376 0.872 0.376  0.03
3 Cr 0.000 0.000 0.000  4.48
4 K 0.376 0.376 0.376  0.03
5 K 0.376 0.376 0.872  0.03
6 K 0.872 0.376 0.376  0.03

Output
- Formation energy from raw total energies: 0.43 eV/atom
- SG: F-43m (216)
- Crystal system: cubic



DFT (meta-GGA SCAN) results for KScCr2 at its PBEsol-relaxed geometry.

a b c (Å): 3.323 3.323 8.727
angles (deg): 90.00 90.00 90.00
Site moments in Bohr magnetons follow the coordinates.
Sites, in units of the cell vectors:
1 K 0.500 0.500 0.000  0.05
2 Cr 0.000 0.000 0.313  3.83
3 Cr 0.000 0.000 0.687  3.83
4 Sc 0.500 0.500 0.500  -0.11

Output
- Formation energy: 0.564 eV/atom
- SG: P4/mmm (123)
- Crystal system: tetragonal



DFT (meta-GGA SCAN) results for KSc2Cr at its PBEsol-relaxed geometry.

a b c (Å): 3.259 3.259 9.803
angles (deg): 90.00 90.00 90.00
Site moments in Bohr magnetons follow the coordinates.
Sites, in units of the cell vectors:
1 Sc 0.000 0.000 0.156  -0.20
2 Sc 0.000 0.000 0.844  -0.20
3 Cr 0.500 0.500 0.000  2.62
4 K 0.500 0.500 0.500  0.00

Output
- Formation energy: 0.306 eV/atom
- ΔE to the lowest computed polymorph: 0 meV per atom
- SG: P4/mmm (123)
- Crystal system: tetragonal



DFT (meta-GGA SCAN) results for KSc3Cr at its PBEsol-relaxed geometry.

a b c (Å): 5.088 5.088 5.088
angles (deg): 90.00 90.00 90.00
Site moments in Bohr magnetons follow the coordinates.
Sites, in units of the cell vectors:
1 Sc 0.000 0.500 0.000  -0.06
2 K 0.500 0.500 0.500  -0.01
3 Sc 0.000 0.000 0.500  -0.06
4 Sc 0.500 0.000 0.000  -0.06
5 Cr 0.000 0.000 0.000  2.48

Output
- Formation energy: 0.493 eV/atom
- SG: Pm-3m (221)
- Crystal system: cubic



DFT (meta-GGA SCAN) results for KSc2Cr at its PBEsol-relaxed geometry.

a b c (Å): 3.373 5.449 5.489
angles (deg): 90.00 90.00 90.00
Site moments in Bohr magnetons follow the coordinates.
Sites, in units of the cell vectors:
1 Sc 0.500 0.000 0.500  -0.14
2 Sc 0.000 0.000 0.000  -0.05
3 K 0.000 0.500 0.500  0.02
4 Cr 0.500 0.500 0.000  4.04

Output
- Formation energy: 0.753 eV/atom
- ΔE to the lowest computed polymorph: 447 meV per atom
- SG: Pmmm (47)
- Crystal system: orthorhombic



DFT (meta-GGA SCAN) results for KScCr4 at its PBEsol-relaxed geometry.

a b c (Å): 5.078 5.078 5.078
angles (deg): 60.00 60.00 60.00
Site moments in Bohr magnetons follow the coordinates.
Sites, in units of the cell vectors:
1 Cr 0.377 0.377 0.869  0.52
2 Cr 0.377 0.377 0.377  0.52
3 Sc 0.000 0.000 0.000  0.03
4 K 0.750 0.750 0.750  0.04
5 Cr 0.869 0.377 0.377  0.52
6 Cr 0.377 0.869 0.377  0.52

Output
- Formation energy: 1.216 eV/atom
- SG: F-43m (216)
- Crystal system: cubic



DFT (meta-GGA SCAN) results for KSc2Cr at its PBEsol-relaxed geometry.

a b c (Å): 3.103 5.011 7.931
angles (deg): 94.54 90.00 108.03
Site moments in Bohr magnetons follow the coordinates.
Sites, in units of the cell vectors:
1 Sc 0.992 0.984 0.903  -0.41
2 Cr 0.502 0.004 0.625  3.37
3 K 0.764 0.529 0.270  0.00
4 Sc 0.242 0.484 0.703  -0.36

Output
- Formation energy: 0.583 eV/atom
- ΔE to the lowest computed polymorph: 277 meV per atom
- SG: Cm (8)
- Crystal system: monoclinic



DFT (meta-GGA SCAN) results for KCr2Se at its PBEsol-relaxed geometry.

a b c (Å): 3.496 3.496 7.126
angles (deg): 90.00 90.00 90.00
Site moments in Bohr magnetons follow the coordinates.
Sites, in units of the cell vectors:
1 Cr 0.000 0.000 0.368  1.44
2 K 0.500 0.500 0.000  -0.02
3 Cr 0.000 0.000 0.632  1.44
4 Se 0.500 0.500 0.500  -0.04

Output
- Formation energy from raw total energies: 0.79 eV/atom
- SG: P4/mmm (123)
- Crystal system: tetragonal



DFT (meta-GGA SCAN) results for KCr5Se8 at its PBEsol-relaxed geometry.

a b c (Å): 3.630 8.859 9.492
angles (deg): 104.53 101.02 90.00
Site moments in Bohr magnetons follow the coordinates.
Sites, in units of the cell vectors:
1 Se 0.238 0.157 0.476  -0.07
2 Se 0.762 0.843 0.524  -0.07
3 Cr 0.342 0.024 0.684  3.04
4 Cr 0.658 0.976 0.316  3.04
5 Cr 0.000 0.000 0.000  3.02
6 Cr 0.704 0.334 0.407  3.04
7 Se 0.830 0.508 0.660  -0.13
8 Se 0.915 0.178 0.829  -0.10
9 Cr 0.296 0.666 0.593  3.04
10 Se 0.170 0.492 0.340  -0.13
11 Se 0.085 0.822 0.171  -0.10
12 Se 0.425 0.844 0.851  -0.09
13 Se 0.575 0.156 0.149  -0.09
14 K 0.500 0.500 0.000  0.00

Output
- Formation energy from raw total energies: -0.99 eV/atom
- SG: C2/m (12)
- Crystal system: monoclinic